Crystalline Mo3Pb2O8 at its relaxed geometry. Source: Alexandria, functional PBE+U.

Values from the calculation:
Its symmetry is No. 186. For the calculated volume, the calculation gives 16.439 Å³/atom. The total DFT energy (no corrections) comes out at -6.764 eV per atom. As for the total magnetization: 0.462 μB/atom.

abc: 6.4075 6.4075 12.0210
angles: 90.00 90.00 120.00
Closest atoms and distances in Å follow each position.
Element x y z (fractional)
O1 0.4825 0.9650 0.3349  2 Mo 2.07
O2 0.8438 0.6876 0.1610  2 Mo 2.05
O3 0.1562 0.8438 0.6610  2 Mo 2.05
O4 0.8438 0.1562 0.1610  2 Mo 2.05
O5 0.9650 0.4825 0.8349  2 Mo 2.07
O6 0.1562 0.3124 0.6610  2 Mo 2.05
O7 0.6876 0.8438 0.6610  2 Mo 2.05
O8 0.4825 0.5175 0.3349  2 Mo 2.07
O9 0.0350 0.5175 0.3349  2 Mo 2.07
O10 0.5175 0.0350 0.8349  2 Mo 2.07
O11 0.0000 0.0000 0.8340  3 Mo 2.13
O12 0.3333 0.6667 0.1540  3 Mo 2.16
O13 0.6667 0.3333 0.6540  3 Mo 2.16
O14 0.0000 0.0000 0.3340  3 Mo 2.13
O15 0.3124 0.1562 0.1610  2 Mo 2.05
O16 0.5175 0.4825 0.8349  2 Mo 2.07
Pb1 0.3333 0.6667 0.5527  3 O 2.36
Pb2 0.3333 0.6667 0.9300  3 O 2.34
Pb3 0.6667 0.3333 0.4300  3 O 2.34
Pb4 0.6667 0.3333 0.0527  3 O 2.36
Mo1 0.8344 0.1656 0.7451  6 O 2.05-2.16
Mo2 0.3311 0.1656 0.7451  6 O 2.05-2.16
Mo3 0.8344 0.6689 0.7451  6 O 2.05-2.16
Mo4 0.1656 0.3311 0.2451  6 O 2.05-2.16
Mo5 0.6689 0.8344 0.2451  6 O 2.05-2.16
Mo6 0.1656 0.8344 0.2451  6 O 2.05-2.16